First-principles (GGA-PBE) data for a relaxed TaAs2OsRu crystal, as listed in Alexandria via LeMat-Bulk.

abc: 4.860 4.860 4.799
angles: 90.00 90.00 90.00
Space group P4/mmm (No. 123)
Asymmetric unit:
Ta (0.000, 0.000, 0.000)
As (0.000, 0.500, 0.000)
Os (0.000, 0.000, 0.500)
Ru (0.500, 0.500, 0.500)

Results
**Calculated density**: 9.1 Mg/m³
**Energy relative to the elements**: 1.642 eV per atom



First-principles (GGA-PBE) data for a relaxed TcAsOs2Ru crystal, as listed in Alexandria via LeMat-Bulk.

abc: 4.669 4.669 4.619
angles: 90.00 90.00 90.00
Space group P4/mmm (No. 123)
Asymmetric unit:
Tc (0.000, 0.000, 0.000)
As (0.500, 0.500, 0.000)
Os (0.000, 0.500, 0.500)
Ru (0.000, 0.000, 0.500)

Results
**Calculated density**: 10.8 Mg/m³
**Energy relative to the elements**: 2.127 eV per atom



First-principles (GGA-PBE) data for a relaxed As3OsS crystal, as listed in Alexandria via LeMat-Bulk.

abc: 4.580 4.580 4.580
angles: 90.00 90.00 90.00
Space group Pm-3m (No. 221)
Asymmetric unit:
As (0.000, 0.000, 0.500)
Os (0.500, 0.500, 0.500)
S (0.000, 0.000, 0.000)

Results
**E above lowest polymorph**: 634 meV per atom
**Calculated density**: 7.7 Mg/m³
**ΔE_f (raw)**: 1.38 eV/atom



First-principles (GGA-PBE) data for a relaxed As3OsS crystal, as listed in Alexandria via LeMat-Bulk.

abc: 4.785 4.785 4.785
angles: 90.00 90.00 90.00
Space group Pm-3m (No. 221)
Asymmetric unit:
As (0.000, 0.000, 0.500)
Os (0.000, 0.000, 0.000)
S (0.500, 0.500, 0.500)

Results
**E above lowest polymorph**: 0 meV per atom
**Calculated density**: 6.8 Mg/m³
**ΔE_f (raw)**: 0.75 eV/atom



First-principles (GGA-PBE) data for a relaxed AsOs3S crystal, as listed in Alexandria via LeMat-Bulk.

abc: 4.379 4.379 4.379
angles: 90.00 90.00 90.00
Space group Pm-3m (No. 221)
Asymmetric unit:
As (0.000, 0.000, 0.000)
Os (0.000, 0.500, 0.500)
S (0.500, 0.500, 0.500)

Results
**E above lowest polymorph**: 0 meV per atom
**Calculated density**: 13.4 Mg/m³
**ΔE_f (raw)**: 1.31 eV/atom



First-principles (GGA-PBE) data for a relaxed AsOsS crystal, as listed in Alexandria via LeMat-Bulk.

abc: 9.955 11.912 7.008
angles: 90.00 90.00 90.00
Space group Fdd2 (No. 43)
Asymmetric unit:
As (0.093, 0.431, 0.000)
Os (0.006, 0.258, 0.498)
S (0.109, 0.434, 0.496)

Results
**Calculated density**: 9.5 Mg/m³
**ΔE_f (raw)**: -0.12 eV/atom